Record 1
Crystalline CdHgB2Te at its relaxed geometry, computed with PBE-GGA.

a b c (Å): 4.2525 4.2525 6.2816
angles (deg): 90.00 90.00 90.00
With the nearest neighbours (Å) after each atom.
Positions (direct):
Cd: 0.0000 0.0000 0.0000  4 Te 3.01, 2 Hg 3.14
Hg: 0.0000 0.0000 0.5000  4 B 2.13
B: 0.0000 0.5000 0.5000  2 Hg 2.13
B: 0.5000 0.0000 0.5000  2 Hg 2.13
Te: 0.5000 0.5000 0.0000  4 Cd 3.01

Calculated values
Its spin magnetization is 0.000 μB/atom. The space group is P4/mmm. Its energy relative to the elements, uncorrected is 1391 meV/atom.

Record 2
Crystalline VCdHgB2 at its relaxed geometry, computed with PBE-GGA.

a b c (Å): 4.1845 4.1845 5.3332
angles (deg): 90.00 90.00 90.00
With the nearest neighbours (Å) after each atom.
Positions (direct):
V: 0.0000 0.0000 0.0000  2 Hg 2.67, 4 Cd 2.96
Cd: 0.5000 0.5000 0.0000  4 V 2.96
Hg: 0.0000 0.0000 0.5000  4 B 2.09
B: 0.0000 0.5000 0.5000  2 Hg 2.09
B: 0.5000 0.0000 0.5000  2 Hg 2.09

Calculated values
Its spin magnetization is 0.000 μB/atom. The calculation puts the energy above the most stable polymorph in this dataset at 0 meV per atom. The space group is P4/mmm. For the energy of formation from the pure elements, the calculation gives 1.950 eV/atom.

Record 3
Crystalline VCdHgB2 at its relaxed geometry, computed with PBE-GGA.

a b c (Å): 4.1846 4.1846 5.6389
angles (deg): 90.00 90.00 90.00
With the nearest neighbours (Å) after each atom.
Positions (direct):
V: 0.0000 0.0000 0.0000  4 Cd 2.96
Cd: 0.5000 0.5000 0.0000  2 Hg 2.82, 4 V 2.96
Hg: 0.5000 0.5000 0.5000  4 B 2.09
B: 0.0000 0.5000 0.5000  2 Hg 2.09
B: 0.5000 0.0000 0.5000  2 Hg 2.09

Calculated values
Its spin magnetization is 0.037 μB/atom. The calculation puts the energy above the most stable polymorph in this dataset at 153 meV per atom. The space group is P4/mmm. For the energy of formation from the pure elements, the calculation gives 2.103 eV/atom.

Record 4
Crystalline HoCdB at its relaxed geometry, computed with PBE-GGA.

a b c (Å): 4.9513 4.9513 6.9875
angles (deg): 99.81 99.81 44.78
With the nearest neighbours (Å) after each atom.
Positions (direct):
Ho: 0.1201 0.1201 0.3302  5 B 2.59-2.80
Ho: 0.8799 0.8799 0.6698  5 B 2.59-2.80
Cd: 0.3670 0.3670 0.0787  1 B 2.42
Cd: 0.6330 0.6330 0.9213  1 B 2.42
B: 0.4208 0.4208 0.4309  1 B 1.59
B: 0.5792 0.5792 0.5691  1 B 1.59

Calculated values
Its spin magnetization is 0.000 μB/atom. The space group is C2/m. For the energy of formation from the pure elements, the calculation gives -0.181 eV/atom.

Record 5
Crystalline Ho3CdB at its relaxed geometry, computed with PBE-GGA.

a b c (Å): 5.0260 5.0260 5.0260
angles (deg): 90.00 90.00 90.00
With the nearest neighbours (Å) after each atom.
Positions (direct):
Ho: 0.0000 0.0000 0.5000  2 B 2.51
Ho: 0.0000 0.5000 0.0000  2 B 2.51
Ho: 0.5000 0.0000 0.0000  2 B 2.51
Cd: 0.5000 0.5000 0.5000  12 Ho 3.55
B: 0.0000 0.0000 0.0000  6 Ho 2.51

Calculated values
Its spin magnetization is 0.311 μB/atom. The space group is Pm-3m. For the energy of formation from the pure elements, the calculation gives -0.113 eV/atom.

Record 6
Crystalline HoCd4B3Pt12 at its relaxed geometry, computed with PBE-GGA.

a b c (Å): 7.7016 7.7016 7.7016
angles (deg): 109.47 109.47 109.47
With the nearest neighbours (Å) after each atom.
Positions (direct):
Ho: 0.0000 0.0000 0.0000  6 Pt 2.51
Cd: 0.0000 0.0000 0.5000  12 Pt 3.14-3.16
Cd: 0.0000 0.5000 0.0000  12 Pt 3.14-3.16
Cd: 0.5000 0.0000 0.0000  12 Pt 3.14-3.16
Cd: 0.5000 0.5000 0.5000  12 Pt 3.14-3.16
B: 0.0000 0.5000 0.5000  2 Pt 1.94
B: 0.5000 0.0000 0.5000  2 Pt 1.94
B: 0.5000 0.5000 0.0000  2 Pt 1.94
Pt: 0.0000 0.2821 0.2821  1 B 1.94
Pt: 0.0000 0.7179 0.7179  1 B 1.94
Pt: 0.2500 0.5000 0.7500  2 B 2.22
Pt: 0.2500 0.7500 0.5000  2 B 2.22
Pt: 0.2821 0.0000 0.2821  1 B 1.94
Pt: 0.2821 0.2821 0.0000  1 B 1.94
Pt: 0.5000 0.2500 0.7500  2 B 2.22
Pt: 0.5000 0.7500 0.2500  2 B 2.22
Pt: 0.7179 0.0000 0.7179  1 B 1.94
Pt: 0.7179 0.7179 0.0000  1 B 1.94
Pt: 0.7500 0.2500 0.5000  2 B 2.22
Pt: 0.7500 0.5000 0.2500  2 B 2.22

Calculated values
Its spin magnetization is 0.000 μB/atom. The space group is Im-3m. For the energy of formation from the pure elements, the calculation gives 0.039 eV/atom.

Record 7
Crystalline Ho2Cd2BRh4 at its relaxed geometry, computed with PBE-GGA.

a b c (Å): 6.0243 6.0243 6.0243
angles (deg): 119.13 119.13 91.51
With the nearest neighbours (Å) after each atom.
Positions (direct):
Ho: 0.2053 0.2053 0.0000  1 B 2.48
Ho: 0.7947 0.7947 0.0000  1 B 2.48
Cd: 0.2500 0.7500 0.5000  8 Rh 3.01, 4 Ho 3.07
Cd: 0.7500 0.2500 0.5000  8 Rh 3.01, 4 Ho 3.07
B: 0.5000 0.5000 0.0000  4 Rh 2.07
Rh: 0.2607 0.2607 0.5213  1 B 2.07
Rh: 0.2607 0.7393 0.0000  1 B 2.07
Rh: 0.7393 0.2607 0.0000  1 B 2.07
Rh: 0.7393 0.7393 0.4787  1 B 2.07

Calculated values
Its spin magnetization is 0.000 μB/atom. The space group is I4/mmm. For the energy of formation from the pure elements, the calculation gives -0.485 eV/atom.

Record 8
Crystalline Ho2CdB2Rh5 at its relaxed geometry, computed with PBE-GGA.

a b c (Å): 9.6625 9.6625 3.2082
angles (deg): 90.00 90.00 90.00
With the nearest neighbours (Å) after each atom.
Positions (direct):
Ho: 0.1760 0.3240 0.0000  3 B 2.76-2.93, 10 Rh 2.89-3.02
Ho: 0.3240 0.8240 0.0000  3 B 2.76-2.93, 10 Rh 2.89-3.02
Ho: 0.6760 0.1760 0.0000  3 B 2.76-2.93, 10 Rh 2.89-3.02
Ho: 0.8240 0.6760 0.0000  3 B 2.76-2.93, 10 Rh 2.89-3.02
Cd: 0.0000 0.0000 0.0000  8 Rh 2.80
Cd: 0.5000 0.5000 0.0000  8 Rh 2.80
B: 0.1222 0.6222 0.0000  6 Rh 2.22-2.32
B: 0.3778 0.1222 0.0000  6 Rh 2.22-2.32
B: 0.6222 0.8778 0.0000  6 Rh 2.22-2.32
B: 0.8778 0.3778 0.0000  6 Rh 2.22-2.32
Rh: 0.0000 0.5000 0.5000  4 B 2.32
Rh: 0.0704 0.7727 0.5000  2 B 2.22
Rh: 0.2273 0.0704 0.5000  2 B 2.22
Rh: 0.2727 0.5704 0.5000  2 B 2.22
Rh: 0.4296 0.2727 0.5000  2 B 2.22
Rh: 0.5000 0.0000 0.5000  4 B 2.32
Rh: 0.5704 0.7273 0.5000  2 B 2.22
Rh: 0.7273 0.4296 0.5000  2 B 2.22
Rh: 0.7727 0.9296 0.5000  2 B 2.22
Rh: 0.9296 0.2273 0.5000  2 B 2.22

Calculated values
Its spin magnetization is 0.000 μB/atom. The space group is P4/mbm. For the energy of formation from the pure elements, the calculation gives -0.733 eV/atom.

Record 9
Crystalline Ho3Cd2BRu3 at its relaxed geometry, computed with PBE-GGA.

a b c (Å): 7.5872 7.5872 3.4207
angles (deg): 90.00 90.00 120.00
With the nearest neighbours (Å) after each atom.
Positions (direct):
Ho: 0.0000 0.3412 0.0000  1 B 2.59, 4 Ru 2.84
Ho: 0.3412 0.0000 0.0000  1 B 2.59, 4 Ru 2.84
Ho: 0.6588 0.6588 0.0000  1 B 2.59, 4 Ru 2.84
Cd: 0.3333 0.6667 0.5000  6 Ho 3.03, 3 Ru 3.07
Cd: 0.6667 0.3333 0.5000  6 Ho 3.03, 3 Ru 3.07
B: 0.0000 0.0000 0.0000  6 Ru 2.37, 3 Ho 2.59
Ru: 0.0000 0.7832 0.5000  2 B 2.37
Ru: 0.2168 0.2168 0.5000  2 B 2.37
Ru: 0.7832 0.0000 0.5000  2 B 2.37

Calculated values
Its spin magnetization is 0.000 μB/atom. The space group is P-62m. For the energy of formation from the pure elements, the calculation gives -0.260 eV/atom.

Record 10
Crystalline CdBI2 at its relaxed geometry, computed with PBE-GGA.

a b c (Å): 7.7549 7.7549 7.7549
angles (deg): 119.98 119.98 90.03
With the nearest neighbours (Å) after each atom.
Positions (direct):
Cd: 0.0000 0.0000 0.0000  12 I 4.53-4.57, 4 Cd 4.75, 4 B 4.75
Cd: 0.7500 0.2500 0.5000  12 I 4.53-4.57, 4 B 4.75, 4 Cd 4.75
B: 0.2500 0.7500 0.5000  4 I 2.37
B: 0.5000 0.5000 0.0000  4 I 2.37
I: 0.3720 0.1250 0.7470  2 B 2.37
I: 0.3750 0.6280 0.7530  2 B 2.37
I: 0.3780 0.6250 0.2530  2 B 2.37
I: 0.8750 0.6220 0.2470  2 B 2.37

Calculated values
Its spin magnetization is 0.000 μB/atom. The calculation puts the energy above the most stable polymorph in this dataset at 0 meV per atom. The space group is I-42d. Its energy relative to the elements, uncorrected is 615 meV/atom.

Record 11
Crystalline CdB3I at its relaxed geometry, computed with PBE-GGA.

a b c (Å): 4.5996 4.5996 4.5996
angles (deg): 90.00 90.00 90.00
With the nearest neighbours (Å) after each atom.
Positions (direct):
Cd: 0.0000 0.0000 0.0000  6 B 2.30
B: 0.0000 0.0000 0.5000  2 Cd 2.30
B: 0.0000 0.5000 0.0000  2 Cd 2.30
B: 0.5000 0.0000 0.0000  2 Cd 2.30
I: 0.5000 0.5000 0.5000  12 B 3.25

Calculated values
Its spin magnetization is 0.000 μB/atom. The calculation puts the energy above the most stable polymorph in this dataset at 0 meV per atom. The space group is Pm-3m. Its energy relative to the elements, uncorrected is 2158 meV/atom.

Record 12
Crystalline CdBI2 at its relaxed geometry, computed with PBE-GGA.

a b c (Å): 5.3551 5.3551 5.3551
angles (deg): 60.00 60.00 60.00
With the nearest neighbours (Å) after each atom.
Positions (direct):
Cd: 0.0000 0.0000 0.0000  8 I 3.28
B: 0.5000 0.5000 0.5000  8 I 3.28
I: 0.2500 0.2500 0.2500  4 B 3.28, 4 Cd 3.28
I: 0.7500 0.7500 0.7500  4 B 3.28, 4 Cd 3.28

Calculated values
Its spin magnetization is 0.000 μB/atom. The calculation puts the energy above the most stable polymorph in this dataset at 402 meV per atom. The space group is Fm-3m. Its energy relative to the elements, uncorrected is 1017 meV/atom.

Record 13
Crystalline CdB2I8 at its relaxed geometry, computed with PBE-GGA.

a b c (Å): 8.3938 8.3938 9.0191
angles (deg): 102.16 102.16 94.19
With the nearest neighbours (Å) after each atom.
Positions (direct):
Cd: 0.0000 0.0000 0.0000  2 I 2.64
B: 0.2770 0.2770 0.7668  3 I 2.13
B: 0.7230 0.7230 0.2332  3 I 2.13
I: 0.0400 0.3403 0.7868  1 B 2.13
I: 0.1886 0.1886 0.2588  1 Cd 2.64
I: 0.3403 0.0400 0.7868  1 B 2.13
I: 0.4524 0.4524 0.7310  1 B 2.13
I: 0.5476 0.5476 0.2690  1 B 2.13
I: 0.6597 0.9600 0.2132  1 B 2.13
I: 0.8114 0.8114 0.7412  1 Cd 2.64
I: 0.9600 0.6597 0.2132  1 B 2.13

Calculated values
Its spin magnetization is 0.000 μB/atom. The space group is C2/m. Its energy relative to the elements, uncorrected is -129 meV/atom.

Number 1: N(E_F) 2.70 states/eV/cell. Number 2: N(E_F) 6.71 states/eV/cell. Number 3: N(E_F) 7.97 states/eV/cell. Number 4: N(E_F) 2.94 states/eV/cell. Number 5: N(E_F) 5.97 states/eV/cell. Number 6: N(E_F) 8.65 states/eV/cell. Number 7: N(E_F) 4.52 states/eV/cell. Number 8: N(E_F) 8.83 states/eV/cell. Number 9: N(E_F) 8.23 states/eV/cell. Number 10: N(E_F) 0.09 states/eV/cell. Number 11: N(E_F) 2.38 states/eV/cell. Number 12: N(E_F) 3.20 states/eV/cell. Number 13: N(E_F) 0.00 states/eV/cell.